Entry 1:
Density functional theory data (PBE) for crystalline LiSc2Os at its relaxed geometry.

Cell: 9.9194 3.2685 4.6849 Å, 90.00 107.50 90.00°
Closest atoms and distances in Å follow each position.
Space group Cm (No. 8)
Unique sites:
Li (0.0000, 0.0000, 0.0000) (multiplicity 2)  2 Os 2.73, 7 Sc 2.74-3.03
Sc (0.0546, 0.5000, 0.5644) (multiplicity 2)  3 Os 2.71-2.95, 4 Li 2.79-3.02
Sc (0.2689, 0.5000, 0.2063) (multiplicity 2)  3 Li 2.74-3.03, 4 Os 2.80-2.92
Os (0.2826, 0.0000, 0.7004) (multiplicity 2)  7 Sc 2.71-2.95, 2 Li 2.73

Properties
Final energy: -6.5445 eV per atom
Energy of formation from the pure elements: -93 meV/atom
Energy above the lowest structure with this stoichiometry: 239 meV per atom
Magnetization: 0.00 Bohr magnetons per cell
Calculated volume: 18.11 Å³/atom

Entry 2:
Density functional theory data (PBE) for crystalline TcAgW at its relaxed geometry.

Cell: 2.8175 2.8175 12.2918 Å, 90.00 90.00 90.00°
Closest atoms and distances in Å follow each position.
Space group I4mm (No. 107)
Unique sites:
Tc (0.0000, 0.0000, 0.0000) (multiplicity 2)  4 W 2.69, 4 Tc 2.82, 4 Ag 2.93
Ag (0.0000, 0.0000, 0.6753) (multiplicity 2)  4 Ag 2.82, 4 Tc 2.93, 4 W 2.96
W (0.0000, 0.0000, 0.3535) (multiplicity 2)  4 Tc 2.69, 4 W 2.82, 4 Ag 2.96

Properties
Final energy: -8.1718 eV per atom
Energy of formation from the pure elements: 552 meV/atom
Energy above the lowest structure with this stoichiometry: 195 meV per atom
Magnetization: 0.00 Bohr magnetons per cell
Calculated volume: 16.26 Å³/atom

Entry 3:
Density functional theory data (PBE) for crystalline Pm2Nd2Er3 at its relaxed geometry.

Cell: 6.1811 12.9766 6.3462 Å, 90.00 112.21 90.00°
Closest atoms and distances in Å follow each position.
Space group P2_1/c (No. 14)
Unique sites:
Pm (0.0923, 0.1775, 0.3747) (multiplicity 4)  4 Er 3.28-3.55, 4 Nd 3.36-3.53
Nd (0.3989, 0.7099, 0.6312) (multiplicity 4)  2 Nd 3.34, 4 Pm 3.36-3.53, 2 Er 3.41-3.49
Er (0.1688, 0.0510, 0.8846) (multiplicity 4)  1 Er 3.25, 1 Nd 3.41, 3 Pm 3.48-3.55
Er (0.5000, 0.0000, 0.5000) (multiplicity 2)  2 Pm 3.28, 2 Nd 3.49

Properties
Final energy: -4.4973 eV per atom
Energy of formation from the pure elements: 178 meV/atom
Energy above the lowest structure with this stoichiometry: 45 meV per atom
Magnetization: 0.00 Bohr magnetons per cell
Calculated volume: 33.66 Å³/atom

Entry 4:
Density functional theory data (PBE) for crystalline VMoH4 at its relaxed geometry.

Cell: 6.0820 6.0903 8.6465 Å, 90.00 90.00 90.00°
Closest atoms and distances in Å follow each position.
Space group Fddd (No. 70, origin choice 2)
Unique sites:
V (0.1250, 0.1250, 0.1250) (multiplicity 8)  8 H 1.84
Mo (0.1250, 0.1250, 0.6250) (multiplicity 8)  8 H 1.90
H (0.1190, 0.3690, 0.2500) (multiplicity 32)  2 V 1.84, 2 Mo 1.90, 1 H 2.05

Properties
Final energy: -5.6485 eV per atom
Magnetization: 0.00 Bohr magnetons per cell
Calculated volume: 6.67 Å³/atom

Entry 5:
Density functional theory data (PBE) for crystalline ZrAlPt2 at its relaxed geometry.

Cell: 4.1392 4.1392 17.5464 Å, 90.00 90.00 90.00°
Closest atoms and distances in Å follow each position.
Space group I-42d (No. 122)
Unique sites:
Zr (0.0000, 0.0000, 0.0000) (multiplicity 4)  4 Pt 2.68, 4 Al 2.93
Al (0.0000, 0.0000, 0.5000) (multiplicity 4)  4 Pt 2.60
Pt (0.2270, 0.2500, 0.6250) (multiplicity 8)  2 Al 2.60, 2 Zr 2.68, 2 Pt 2.80

Properties
Final energy: -6.5854 eV per atom
Energy of formation from the pure elements: -492 meV/atom
Magnetization: 0.00 Bohr magnetons per cell
Calculated volume: 18.79 Å³/atom

Entry 6:
Density functional theory data (PBE) for crystalline NaCa3Rh at its relaxed geometry.

Cell: 7.2110 7.2110 23.4656 Å, 90.00 90.00 120.00°
Closest atoms and distances in Å follow each position.
Space group R-3 (No. 148, hexagonal axes)
Unique sites:
Na (0.0000, 0.0000, 0.1793) (multiplicity 6)  1 Rh 3.21, 3 Ca 3.44
Ca (0.0211, 0.3105, 0.6066) (multiplicity 18)  2 Rh 2.83
Rh (0.0000, 0.0000, 0.3159) (multiplicity 6)  6 Ca 2.83

Properties
Final energy: -3.0562 eV per atom
Energy of formation from the pure elements: -121 meV/atom
Energy above the lowest structure with this stoichiometry: 83 meV per atom
Magnetization: 0.00 Bohr magnetons per cell
Calculated volume: 35.22 Å³/atom